# InHPdRh2

A relaxed structure of InHPdRh2 (PBE-GGA, the Alexandria database).

Calculated values
DOS at the Fermi energy ... 5.1 states/eV/cell
Symmetry ... P4/mmm, No. 123
Total moment ... 0.0 μB per formula unit
Energy above the lowest structure with this stoichiometry ... 168 meV/atom

Cell lengths 3.903, 3.903, 4.357 Å; angles 90.00, 90.00, 90.00 degrees
Positions (direct):
In: 0.000 0.000 0.500
Rh: 0.000 0.500 0.000
Rh: 0.500 0.000 0.000
Pd: 0.500 0.500 0.500
H: 0.000 0.000 0.000